# 1
Here is crystalline Ce6Tl5Pb at its relaxed geometry from Alexandria via LeMat-Bulk. Energies are from PBE-GGA.

a = 7.8481 Å, b = 7.8481 Å, c = 9.3049 Å
α = 90.00°, β = 90.00°, γ = 143.10°
Positions (direct):
Ce1 0.0000 0.0000 0.2496
Ce2 0.0000 0.0000 0.7504
Ce3 0.3330 0.6670 0.2492
Ce4 0.3330 0.6670 0.7508
Ce5 0.6670 0.3330 0.2492
Ce6 0.6670 0.3330 0.7508
Tl1 0.1664 0.8336 0.0000
Tl2 0.1686 0.8314 0.5000
Tl3 0.5000 0.5000 0.0000
Tl4 0.8314 0.1686 0.5000
Tl5 0.8336 0.1664 0.0000
Pb1 0.5000 0.5000 0.5000

Summary:
energy relative to the elements = -0.27 eV/atom
V = 344 Å³/cell
uncorrected energy = -0.3332 Ry per atom
space-group type = No. 65

=====

# 2
Here is crystalline BaAc4Sn2 at its relaxed geometry from Alexandria via LeMat-Bulk. Energies are from PBE-GGA.

a = 9.0013 Å, b = 9.0013 Å, c = 9.0013 Å
α = 110.27°, β = 110.27°, γ = 107.89°
Positions (direct):
Ba1 0.0000 0.0000 0.0000
Ba2 0.7500 0.2500 0.5000
Ac1 0.1572 0.4146 0.4216
Ac2 0.1646 0.4072 0.9216
Ac3 0.2644 0.8428 0.2574
Ac4 0.4856 0.2430 0.0784
Ac5 0.5854 0.0070 0.7426
Ac6 0.5928 0.5144 0.7574
Ac7 0.7570 0.8354 0.2426
Ac8 0.9930 0.7356 0.5784
Sn1 0.2254 0.1250 0.6004
Sn2 0.3750 0.7746 0.8996
Sn3 0.5246 0.6250 0.3996
Sn4 0.8750 0.4754 0.1004

Summary:
energy relative to the elements = -0.25 eV/atom
V = 561 Å³/cell
uncorrected energy = -0.2951 Ry per atom
space-group type = No. 122

=====

# 3
Here is crystalline Ho3Sc3Tl2 at its relaxed geometry from Alexandria via LeMat-Bulk. Energies are from PBE-GGA.

a = 4.6847 Å, b = 4.6947 Å, c = 9.3406 Å
α = 90.00°, β = 90.00°, γ = 90.00°
Positions (direct):
Ho1 0.0000 0.0000 0.0000
Ho2 0.0000 0.0000 0.5000
Ho3 0.5000 0.5000 0.0000
Sc1 0.5000 0.0000 0.2559
Sc2 0.5000 0.0000 0.7441
Sc3 0.5000 0.5000 0.5000
Tl1 0.0000 0.5000 0.2544
Tl2 0.0000 0.5000 0.7456

Summary:
energy relative to the elements = -0.17 eV/atom
V = 205 Å³/cell
uncorrected energy = -0.3569 Ry per atom
space-group type = No. 47

=====

# 4
Here is crystalline TbZnCdIn at its relaxed geometry from Alexandria via LeMat-Bulk. Energies are from PBE-GGA.

a = 5.0366 Å, b = 5.0366 Å, c = 5.0366 Å
α = 60.00°, β = 60.00°, γ = 60.00°
Positions (direct):
Tb1 0.0000 0.0000 0.0000
Zn1 0.2500 0.2500 0.2500
Cd1 0.7500 0.7500 0.7500
In1 0.5000 0.5000 0.5000

Summary:
energy relative to the elements = -0.24 eV/atom
V = 90 Å³/cell
uncorrected energy = -0.1935 Ry per atom
space-group type = No. 216

=====

# 5
Here is crystalline Sr3YTc at its relaxed geometry from Alexandria via LeMat-Bulk. Energies are from PBE-GGA.

a = 6.1557 Å, b = 6.1557 Å, c = 6.1557 Å
α = 90.00°, β = 90.00°, γ = 90.00°
Positions (direct):
Sr1 0.0000 0.0000 0.5000
Sr2 0.0000 0.5000 0.0000
Sr3 0.5000 0.0000 0.0000
Y1 0.0000 0.0000 0.0000
Tc1 0.5000 0.5000 0.5000

Summary:
energy relative to the elements = 1.68 eV/atom
E above lowest polymorph = 0.938 eV/atom
V = 233 Å³/cell
uncorrected energy = -0.1983 Ry per atom
space-group type = No. 221

=====

# 6
Here is crystalline Ce2CuNi5Ir2 at its relaxed geometry from Alexandria via LeMat-Bulk. Energies are from PBE-GGA.

a = 9.0338 Å, b = 9.0338 Å, c = 3.8462 Å
α = 90.00°, β = 90.00°, γ = 90.00°
Positions (direct):
Ce1 0.1755 0.3245 0.0000
Ce2 0.3245 0.8245 0.0000
Ce3 0.6755 0.1755 0.0000
Ce4 0.8245 0.6755 0.0000
Cu1 0.0000 0.0000 0.0000
Cu2 0.5000 0.5000 0.0000
Ni1 0.0000 0.5000 0.5000
Ni2 0.0549 0.8088 0.5000
Ni3 0.1912 0.0549 0.5000
Ni4 0.3088 0.5549 0.5000
Ni5 0.4451 0.3088 0.5000
Ni6 0.5000 0.0000 0.5000
Ni7 0.5549 0.6912 0.5000
Ni8 0.6912 0.4451 0.5000
Ni9 0.8088 0.9451 0.5000
Ni10 0.9451 0.1912 0.5000
Ir1 0.1278 0.6278 0.0000
Ir2 0.3722 0.1278 0.0000
Ir3 0.6278 0.8722 0.0000
Ir4 0.8722 0.3722 0.0000

Summary:
energy relative to the elements = -0.23 eV/atom
V = 314 Å³/cell
uncorrected energy = -0.4770 Ry per atom
space-group type = No. 127

=====

# 7
Here is crystalline BaCuSiPd at its relaxed geometry from Alexandria via LeMat-Bulk. Energies are from PBE-GGA.

a = 4.2823 Å, b = 4.2823 Å, c = 6.2220 Å
α = 110.08°, β = 110.08°, γ = 60.30°
Positions (direct):
Ba1 0.0000 0.0000 0.0000
Cu1 0.8102 0.8102 0.4326
Si1 0.5026 0.5026 0.5079
Pd1 0.1924 0.1924 0.5772

Summary:
uncorrected formation energy = -0.46 eV per atom
V = 91 Å³/cell
uncorrected energy = -0.3394 Ry per atom
space-group type = No. 8

=====

# 8
Here is crystalline ScSiSbRh2 at its relaxed geometry from Alexandria via LeMat-Bulk. Energies are from PBE-GGA.

a = 4.8091 Å, b = 4.8091 Å, c = 5.0299 Å
α = 90.00°, β = 90.00°, γ = 90.00°
Positions (direct):
Sc1 0.0000 0.0000 0.0000
Si1 0.5000 0.5000 0.0000
Sb1 0.5000 0.5000 0.5000
Rh1 0.0000 0.5000 0.5000
Rh2 0.5000 0.0000 0.5000

Summary:
uncorrected formation energy = 0.62 eV per atom
V = 116 Å³/cell
uncorrected energy = -0.4041 Ry per atom
space-group type = No. 123

=====

Table of calculated density (g/cm3), in record order: 9.989; 7.592; 8.394; 8.300; 3.202; 10.810; 6.122; 5.719